(A)
Density functional theory data (PBE) for an optimized crystal structure of HgB2As.

## Properties
- Fermi-level density of states (states/eV per atom) = 0.53
- magnetic moment (μB/atom) = 0.00

abc: 6.1772 6.1772 6.1772
angles: 90.00 90.00 90.00
Space group Fm-3m (No. 225)
Symmetry-distinct sites (fractional):
Hg: 0.0000 0.0000 0.0000 [4 per cell]
B: 0.2500 0.2500 0.2500 [8 per cell]
As: 0.0000 0.0000 0.5000 [4 per cell]



(B)
Density functional theory data (PBE) for an optimized crystal structure of HgB2As.

## Properties
- Fermi-level density of states (states/eV per atom) = 0.48
- magnetic moment (μB/atom) = 0.00

abc: 5.2328 5.2328 9.3140
angles: 90.00 90.00 90.00
Space group I-42d (No. 122)
Symmetry-distinct sites (fractional):
Hg: 0.0000 0.0000 0.0000 [4 per cell]
B: 0.2076 0.2500 0.6250 [8 per cell]
As: 0.0000 0.0000 0.5000 [4 per cell]



Relative energies in kJ/mol of atoms: (A) 89.3; (B) 0.0



(A)
Density functional theory data (PBE) for an optimized crystal structure of HgBAsSe2.

## Properties
- Fermi-level density of states (states/eV per atom) = 0.88
- magnetic moment (μB/atom) = 0.23

abc: 5.3117 5.3117 5.1775
angles: 90.00 90.00 90.00
Space group P4/mmm (No. 123)
Symmetry-distinct sites (fractional):
Hg: 0.0000 0.0000 0.0000 [1 per cell]
B: 0.5000 0.5000 0.5000 [1 per cell]
As: 0.0000 0.0000 0.5000 [1 per cell]
Se: 0.0000 0.5000 0.0000 [2 per cell]



(B)
Density functional theory data (PBE) for an optimized crystal structure of HgBAsSe2.

## Properties
- Fermi-level density of states (states/eV per atom) = 0.72
- magnetic moment (μB/atom) = 0.00

abc: 4.8812 4.8812 4.0955
angles: 90.00 90.00 90.00
Space group P4/mmm (No. 123)
Symmetry-distinct sites (fractional):
Hg: 0.0000 0.0000 0.0000 [1 per cell]
B: 0.5000 0.5000 0.5000 [1 per cell]
As: 0.5000 0.5000 0.0000 [1 per cell]
Se: 0.0000 0.5000 0.5000 [2 per cell]



Relative energies in kJ/mol of atoms: (A) 94.9; (B) 0.0



(A)
Density functional theory data (PBE) for an optimized crystal structure of BAsI2.

## Properties
- Fermi-level density of states (states/eV per atom) = 0.71
- magnetic moment (μB/atom) = 0.00

abc: 7.2806 7.2806 7.2806
angles: 90.00 90.00 90.00
Space group Fm-3m (No. 225)
Symmetry-distinct sites (fractional):
B: 0.0000 0.0000 0.0000 [4 per cell]
As: 0.0000 0.0000 0.5000 [4 per cell]
I: 0.2500 0.2500 0.2500 [8 per cell]



(B)
Density functional theory data (PBE) for an optimized crystal structure of BAsI2.

## Properties
- Fermi-level density of states (states/eV per atom) = 1.04
- magnetic moment (μB/atom) = 0.00

abc: 7.2284 7.2284 8.1364
angles: 90.00 90.00 90.00
Space group I-42d (No. 122)
Symmetry-distinct sites (fractional):
B: 0.0000 0.0000 0.0000 [4 per cell]
As: 0.0000 0.0000 0.5000 [4 per cell]
I: 0.1936 0.2500 0.1250 [8 per cell]



Relative energies in kJ/mol of atoms: (A) 18.4; (B) 0.0



(A)
Density functional theory data (PBE) for an optimized crystal structure of B2AsI.

## Properties
- Fermi-level density of states (states/eV per atom) = 0.44
- magnetic moment (μB/atom) = 0.00

abc: 6.2845 6.2845 6.2845
angles: 90.00 90.00 90.00
Space group Fm-3m (No. 225)
Symmetry-distinct sites (fractional):
B: 0.2500 0.2500 0.2500 [8 per cell]
As: 0.0000 0.0000 0.0000 [4 per cell]
I: 0.0000 0.0000 0.5000 [4 per cell]



(B)
Density functional theory data (PBE) for an optimized crystal structure of B2AsI.

## Properties
- Fermi-level density of states (states/eV per atom) = 0.47
- magnetic moment (μB/atom) = 0.00

abc: 5.7202 5.7202 8.4629
angles: 90.00 90.00 90.00
Space group I-42d (No. 122)
Symmetry-distinct sites (fractional):
B: 0.1814 0.2500 0.1250 [8 per cell]
As: 0.0000 0.0000 0.0000 [4 per cell]
I: 0.0000 0.0000 0.5000 [4 per cell]



Relative energies in kJ/mol of atoms: (A) 91.4; (B) 0.0



(A)
Density functional theory data (PBE) for an optimized crystal structure of BAs2I.

## Properties
- Fermi-level density of states (states/eV per atom) = 0.28
- magnetic moment (μB/atom) = 0.00

abc: 6.3507 6.3507 8.8073
angles: 90.00 90.00 90.00
Space group I-42d (No. 122)
Symmetry-distinct sites (fractional):
B: 0.0000 0.0000 0.0000 [4 per cell]
As: 0.1372 0.2500 0.1250 [8 per cell]
I: 0.0000 0.0000 0.5000 [4 per cell]



(B)
Density functional theory data (PBE) for an optimized crystal structure of BAs2I.

## Properties
- Fermi-level density of states (states/eV per atom) = 0.57
- magnetic moment (μB/atom) = 0.00

abc: 6.8379 6.8379 6.8379
angles: 90.00 90.00 90.00
Space group Fm-3m (No. 225)
Symmetry-distinct sites (fractional):
B: 0.0000 0.0000 0.0000 [4 per cell]
As: 0.2500 0.2500 0.2500 [8 per cell]
I: 0.0000 0.0000 0.5000 [4 per cell]



Relative energies in kJ/mol of atoms: (A) 0.0; (B) 93.2



(A)
Density functional theory data (PBE) for an optimized crystal structure of BAsIN2.

## Properties
- Fermi-level density of states (states/eV per atom) = 0.67
- magnetic moment (μB/atom) = 0.26

abc: 3.7812 3.7812 4.7593
angles: 90.00 90.00 90.00
Space group P4/mmm (No. 123)
Symmetry-distinct sites (fractional):
B: 0.0000 0.0000 0.0000 [1 per cell]
As: 0.5000 0.5000 0.5000 [1 per cell]
I: 0.0000 0.0000 0.5000 [1 per cell]
N: 0.0000 0.5000 0.0000 [2 per cell]



(B)
Density functional theory data (PBE) for an optimized crystal structure of BAsIN2.

## Properties
- Fermi-level density of states (states/eV per atom) = 0.49
- magnetic moment (μB/atom) = 0.07

abc: 3.6695 3.6695 7.6992
angles: 90.00 90.00 90.00
Space group P4/mmm (No. 123)
Symmetry-distinct sites (fractional):
B: 0.0000 0.0000 0.0000 [1 per cell]
As: 0.5000 0.5000 0.5000 [1 per cell]
I: 0.5000 0.5000 0.0000 [1 per cell]
N: 0.0000 0.5000 0.5000 [2 per cell]



Relative energies in kJ/mol of atoms: (A) 14.1; (B) 0.0



(A)
Density functional theory data (PBE) for an optimized crystal structure of BAsI2N.

## Properties
- Fermi-level density of states (states/eV per atom) = 0.74
- magnetic moment (μB/atom) = 0.00

abc: 7.8584 7.8584 2.7024
angles: 90.00 90.00 90.00
Space group P4/mmm (No. 123)
Symmetry-distinct sites (fractional):
B: 0.0000 0.0000 0.0000 [1 per cell]
As: 0.5000 0.5000 0.5000 [1 per cell]
I: 0.0000 0.5000 0.0000 [2 per cell]
N: 0.0000 0.0000 0.5000 [1 per cell]



(B)
Density functional theory data (PBE) for an optimized crystal structure of BAsI2N.

## Properties
- Fermi-level density of states (states/eV per atom) = 0.71
- magnetic moment (μB/atom) = 0.00

abc: 5.9525 5.9525 3.6683
angles: 90.00 90.00 90.00
Space group P4/mmm (No. 123)
Symmetry-distinct sites (fractional):
B: 0.0000 0.0000 0.0000 [1 per cell]
As: 0.5000 0.5000 0.5000 [1 per cell]
I: 0.0000 0.5000 0.5000 [2 per cell]
N: 0.5000 0.5000 0.0000 [1 per cell]



Relative energies in kJ/mol of atoms: (A) 0.0; (B) 120.2



(A)
Density functional theory data (PBE) for an optimized crystal structure of BAsIO2.

## Properties
- Fermi-level density of states (states/eV per atom) = 0.38
- magnetic moment (μB/atom) = 0.00

abc: 3.7390 3.7390 7.0686
angles: 90.00 90.00 90.00
Space group P4/mmm (No. 123)
Symmetry-distinct sites (fractional):
B: 0.0000 0.0000 0.0000 [1 per cell]
As: 0.5000 0.5000 0.5000 [1 per cell]
I: 0.5000 0.5000 0.0000 [1 per cell]
O: 0.0000 0.5000 0.5000 [2 per cell]



(B)
Density functional theory data (PBE) for an optimized crystal structure of BAsIO2.

## Properties
- Fermi-level density of states (states/eV per atom) = 0.44
- magnetic moment (μB/atom) = 0.00

abc: 3.8139 3.8139 4.5776
angles: 90.00 90.00 90.00
Space group P4/mmm (No. 123)
Symmetry-distinct sites (fractional):
B: 0.0000 0.0000 0.0000 [1 per cell]
As: 0.5000 0.5000 0.5000 [1 per cell]
I: 0.0000 0.0000 0.5000 [1 per cell]
O: 0.0000 0.5000 0.0000 [2 per cell]



Relative energies in kJ/mol of atoms: (A) 0.0; (B) 20.7